[1]
A relaxed structure of CrCdS2, computed with GGA-PBE.

The space-group type is R-3m, No. 166. For the uncorrected formation energy, the calculation gives -0.019 eV/atom. The calculation puts the calculated density at 3.79 g/cm3. Its magnetic moment is 4.0 μB per formula unit.

Cell lengths 3.9636, 3.9636, 22.0723 Å; angles 90.00, 90.00, 120.00 degrees
Atoms (fractional coordinates):
Cr  0.0000  0.0000  0.0000
Cr  0.3333  0.6667  0.6667
Cr  0.6667  0.3333  0.3333
Cd  0.0000  0.0000  0.5000
Cd  0.3333  0.6667  0.1667
Cd  0.6667  0.3333  0.8333
S  0.0000  0.0000  0.1012
S  0.0000  0.0000  0.8988
S  0.3333  0.6667  0.5655
S  0.3333  0.6667  0.7678
S  0.6667  0.3333  0.2322
S  0.6667  0.3333  0.4345

---

[2]
A relaxed structure of Sm3Tl2Cd4, computed with GGA-PBE.

The space-group type is C2/m, No. 12. The calculation puts the calculated density at 9.20 g/cm3. Its magnetic moment is 0.0 μB per formula unit. For the formation energy from the elements, the calculation gives -331 meV/atom.

Cell lengths 6.1648, 6.1648, 9.4770 Å; angles 115.26, 115.26, 47.91 degrees
Atoms (fractional coordinates):
Sm  0.0000  0.0000  0.0000
Sm  0.3338  0.3338  0.3294
Sm  0.6662  0.6662  0.6706
Tl  0.3915  0.3915  0.7275
Tl  0.6085  0.6085  0.2725
Cd  0.0721  0.0721  0.4098
Cd  0.2887  0.2887  0.9621
Cd  0.7113  0.7113  0.0379
Cd  0.9279  0.9279  0.5902

---

[3]
A relaxed structure of Er4Co2Cu5, computed with GGA-PBE.

The space-group type is P2/m, No. 10. The calculation puts the calculated density at 9.26 g/cm3. Its magnetic moment is 0.0 μB per formula unit. For the formation energy from the elements, the calculation gives -220 meV/atom.

Cell lengths 6.6217, 3.9264, 7.6333 Å; angles 90.00, 93.02, 90.00 degrees
Atoms (fractional coordinates):
Er  0.2199  0.0000  0.3608
Er  0.2404  0.0000  0.8980
Er  0.7596  0.0000  0.1020
Er  0.7801  0.0000  0.6392
Co  0.0747  0.5000  0.1344
Co  0.9253  0.5000  0.8656
Cu  0.1463  0.5000  0.6238
Cu  0.4473  0.5000  0.1614
Cu  0.5000  0.5000  0.5000
Cu  0.5527  0.5000  0.8386
Cu  0.8537  0.5000  0.3762

---

[4]
A relaxed structure of CsGe6As8, computed with GGA-PBE.

The space-group type is R-3, No. 148. The calculation puts the calculated density at 4.39 g/cm3. Its magnetic moment is 0.0 μB per formula unit. For the formation energy from the elements, the calculation gives 42 meV/atom.

Cell lengths 7.7777, 7.7777, 7.7777 Å; angles 77.54, 77.54, 77.54 degrees
Atoms (fractional coordinates):
Cs  0.0000  0.0000  0.0000
Ge  0.1507  0.5328  0.3415
Ge  0.3415  0.1507  0.5328
Ge  0.4672  0.6585  0.8493
Ge  0.5328  0.3415  0.1507
Ge  0.6585  0.8493  0.4672
Ge  0.8493  0.4672  0.6585
As  0.1851  0.4252  0.6680
As  0.2370  0.2370  0.2370
As  0.3320  0.8149  0.5748
As  0.4252  0.6680  0.1851
As  0.5748  0.3320  0.8149
As  0.6680  0.1851  0.4252
As  0.7630  0.7630  0.7630
As  0.8149  0.5748  0.3320

---

[5]
A relaxed structure of SiSnI2, computed with GGA-PBE.

For the polymorph energy (0 for the lowest one), the calculation gives 66 meV/atom. The space-group type is Fm-3m, No. 225. For the uncorrected formation energy, the calculation gives 0.445 eV/atom. The calculation puts the calculated density at 5.75 g/cm3. Its magnetic moment is 0.0 μB per formula unit.

Cell lengths 7.7371, 7.7371, 7.7371 Å; angles 90.00, 90.00, 90.00 degrees
Atoms (fractional coordinates):
Si  0.0000  0.0000  0.0000
Si  0.0000  0.5000  0.5000
Si  0.5000  0.0000  0.5000
Si  0.5000  0.5000  0.0000
Sn  0.0000  0.0000  0.5000
Sn  0.0000  0.5000  0.0000
Sn  0.5000  0.0000  0.0000
Sn  0.5000  0.5000  0.5000
I  0.2500  0.2500  0.2500
I  0.2500  0.2500  0.7500
I  0.2500  0.7500  0.2500
I  0.2500  0.7500  0.7500
I  0.7500  0.2500  0.2500
I  0.7500  0.2500  0.7500
I  0.7500  0.7500  0.2500
I  0.7500  0.7500  0.7500

---

[6]
A relaxed structure of Ba2PrS3, computed with GGA-PBE.

The space-group type is Fddd, No. 70. For the uncorrected formation energy, the calculation gives -2.027 eV/atom. The calculation puts the calculated density at 4.75 g/cm3. Its magnetic moment is 0.0 μB per formula unit.

Cell lengths 14.4867, 13.8109, 7.6066 Å; angles 79.38, 69.56, 31.07 degrees
Atoms (fractional coordinates):
Ba  0.0435  0.0435  0.2065
Ba  0.1230  0.1230  0.6270
Ba  0.2065  0.2065  0.0435
Ba  0.3730  0.3730  0.8770
Ba  0.6270  0.6270  0.1230
Ba  0.7935  0.7935  0.9565
Ba  0.8770  0.8770  0.3730
Ba  0.9565  0.9565  0.7935
Pr  0.2915  0.2915  0.4585
Pr  0.4585  0.4585  0.2915
Pr  0.5415  0.5415  0.7085
Pr  0.7085  0.7085  0.5415
S  0.0371  0.5377  0.2358
S  0.1497  0.6003  0.6003
S  0.2358  0.6894  0.0371
S  0.3106  0.7642  0.4623
S  0.3997  0.8503  0.8503
S  0.4623  0.9629  0.3106
S  0.5377  0.0371  0.6894
S  0.6003  0.1497  0.1497
S  0.6894  0.2358  0.5377
S  0.7642  0.3106  0.9629
S  0.8503  0.3997  0.3997
S  0.9629  0.4623  0.7642

---

Question: The lowest calculated density belongs to which entry?
Answer: CrCdS2

---

What did the fifth record say?
A relaxed structure of SiSnI2, computed with GGA-PBE.

For the polymorph energy (0 for the lowest one), the calculation gives 66 meV/atom. The space-group type is Fm-3m, No. 225. For the uncorrected formation energy, the calculation gives 0.445 eV/atom. The calculation puts the calculated density at 5.75 g/cm3. Its magnetic moment is 0.0 μB per formula unit.

Cell lengths 7.7371, 7.7371, 7.7371 Å; angles 90.00, 90.00, 90.00 degrees
Atoms (fractional coordinates):
Si  0.0000  0.0000  0.0000
Si  0.0000  0.5000  0.5000
Si  0.5000  0.0000  0.5000
Si  0.5000  0.5000  0.0000
Sn  0.0000  0.0000  0.5000
Sn  0.0000  0.5000  0.0000
Sn  0.5000  0.0000  0.0000
Sn  0.5000  0.5000  0.5000
I  0.2500  0.2500  0.2500
I  0.2500  0.2500  0.7500
I  0.2500  0.7500  0.2500
I  0.2500  0.7500  0.7500
I  0.7500  0.2500  0.2500
I  0.7500  0.2500  0.7500
I  0.7500  0.7500  0.2500
I  0.7500  0.7500  0.7500